[1]
Entry from the Alexandria database: a relaxed NaFe3S crystal (PBE).

Output
Formation energy (no corrections) ... 1.924 eV/atom
Relative energy among the computed polymorphs ... 1614.7 meV per atom
Uncorrected energy ... -4.243 eV per atom
ρ ... 4.03 Mg/m³
V ... 18.364 Å³ per atom
Total magnetization ... 9.00 μB per cell

Lattice parameters (Å, degrees): 4.511 4.511 4.511 90.00 90.00 90.00
Last column: magnetic moment on the atom in μB.
Element x y z (fractional)
Fe 0.000 0.000 0.500  2.96
Na 0.000 0.000 0.000  -0.04
S 0.500 0.500 0.500  0.12
Fe 0.000 0.500 0.000  3.02
Fe 0.500 0.000 0.000  2.88



[2]
Entry from the Alexandria database: a relaxed NaFeS crystal (PBE).

Output
Formation energy (no corrections) ... -0.504 eV/atom
Uncorrected energy ... -5.141 eV per atom
ρ ... 3.22 Mg/m³
V ... 19.035 Å³ per atom
Total magnetization ... 0.00 μB per cell

Lattice parameters (Å, degrees): 3.665 3.665 8.503 90.00 90.00 90.00
Element x y z (fractional)
Fe 0.000 0.000 0.500
Na 0.500 0.000 0.181
S 0.500 0.000 0.641
S 0.000 0.500 0.359
Fe 0.500 0.500 0.500
Na 0.000 0.500 0.819



[3]
Entry from the Alexandria database: a relaxed Na3FeS crystal (PBE).

Output
Formation energy (no corrections) ... 0.640 eV/atom
Relative energy among the computed polymorphs ... 523.5 meV per atom
Uncorrected energy ... -2.669 eV per atom
ρ ... 1.70 Mg/m³
V ... 30.726 Å³ per atom
Total magnetization ... 3.00 μB per cell

Lattice parameters (Å, degrees): 5.356 5.356 5.356 90.00 90.00 90.00
Last column: magnetic moment on the atom in μB.
Element x y z (fractional)
Na 0.000 0.000 0.500  -0.01
Fe 0.000 0.000 0.000  2.78
S 0.500 0.500 0.500  0.02
Na 0.000 0.500 0.000  -0.01
Na 0.500 0.000 0.000  -0.01